1.
# Ce5Sb2AsN | Alexandria via LeMat-Bulk | GGA-PBE | relaxed
# crystal system: tetragonal
# raw total energy: -6.716 eV per atom
# formation energy from raw total energies: -1.062 eV/atom
# total moment: 3.3 μB per cell
data_Ce5Sb2AsN
_symmetry_space_group_name_H-M 'P 1'
_symmetry_Int_Tables_number 1
_symmetry_space_group_name_Hall 'P 1'
_cell_length_a 4.629
_cell_length_b 4.629
_cell_length_c 11.377
_cell_angle_alpha 90.00
_cell_angle_beta 90.00
_cell_angle_gamma 90.00
loop_
_atom_site_label
_atom_site_type_symbol
_atom_site_fract_x
_atom_site_fract_y
_atom_site_fract_z
_atom_site_occupancy
Sb1 Sb 0.500 0.500 0.712 1
N1 N 0.000 0.000 0.500 1
Ce1 Ce 0.500 0.000 0.500 1
Ce2 Ce 0.000 0.000 0.256 1
Ce3 Ce 0.500 0.500 0.000 1
Ce4 Ce 0.000 0.000 0.744 1
Ce5 Ce 0.000 0.500 0.500 1
As1 As 0.000 0.000 0.000 1
Sb2 Sb 0.500 0.500 0.288 1

2.
# PaGeIr | Alexandria via LeMat-Bulk | GGA-PBE | relaxed
# crystal system: hexagonal
# formation enthalpy at 0 K: -0.819 eV per atom
# raw total energy: -8.477 eV per atom
# total moment: 0.0 μB per cell
data_PaGeIr
_symmetry_space_group_name_H-M 'P 1'
_symmetry_Int_Tables_number 1
_symmetry_space_group_name_Hall 'P 1'
_cell_length_a 3.443
_cell_length_b 4.413
_cell_length_c 4.413
_cell_angle_alpha 120.00
_cell_angle_beta 90.00
_cell_angle_gamma 90.00
loop_
_atom_site_label
_atom_site_type_symbol
_atom_site_fract_x
_atom_site_fract_y
_atom_site_fract_z
_atom_site_occupancy
Ge1 Ge 0.166 0.333 0.667 1
Pa1 Pa 0.667 0.667 0.333 1
Ir1 Ir 0.167 0.000 0.000 1

3.
# NdNpTeS2 | Alexandria via LeMat-Bulk | GGA-PBE | relaxed
# crystal system: tetragonal
# raw total energy: -7.085 eV per atom
# formation energy from raw total energies: -1.264 eV/atom
# total moment: 4.0 μB per cell
data_NdNpTeS2
_symmetry_space_group_name_H-M 'P 1'
_symmetry_Int_Tables_number 1
_symmetry_space_group_name_Hall 'P 1'
_cell_length_a 4.480
_cell_length_b 4.480
_cell_length_c 7.546
_cell_angle_alpha 107.27
_cell_angle_beta 107.27
_cell_angle_gamma 90.00
loop_
_atom_site_label
_atom_site_type_symbol
_atom_site_fract_x
_atom_site_fract_y
_atom_site_fract_z
_atom_site_occupancy
Nd1 Nd 0.865 0.865 0.731 1
Np1 Np 0.139 0.139 0.278 1
S1 S 0.747 0.247 0.493 1
S2 S 0.247 0.747 0.493 1
Te1 Te 0.502 0.502 0.004 1